Record 1
A PBEsol-optimized structure of CuRhN2O, computed with meta-GGA SCAN.

Cell: 3.680 3.680 4.124 Å, 90.00 90.00 90.00°
Atoms (fractional coordinates):
Cu  0.000  0.000  0.000
Rh  0.500  0.500  0.500
N  0.000  0.500  0.500
N  0.500  0.000  0.500
O  0.500  0.500  0.000

Results
E_form (uncorrected)	1.105	eV per atom
symmetry	No. 123


Record 2
A PBEsol-optimized structure of ScCuNO2, computed with meta-GGA SCAN.

Cell: 3.684 3.684 3.657 Å, 90.00 90.00 90.00°
Atoms (fractional coordinates):
Sc  0.000  0.000  0.000
Cu  0.500  0.500  0.500
N  0.500  0.500  0.000
O  0.000  0.500  0.500
O  0.500  0.000  0.500

Results
E_form (uncorrected)	-0.872	eV per atom
symmetry	No. 123


Record 3
A PBEsol-optimized structure of CuSnN2O, computed with meta-GGA SCAN.

Cell: 4.140 4.140 3.990 Å, 90.00 90.00 90.00°
Atoms (fractional coordinates):
Cu  0.000  0.000  0.000
Sn  0.500  0.500  0.500
N  0.000  0.500  0.500
N  0.500  0.000  0.500
O  0.500  0.500  0.000

Results
E_form (uncorrected)	1.044	eV per atom
symmetry	No. 123


Record 4
A PBEsol-optimized structure of SrCuNO2, computed with meta-GGA SCAN.

Cell: 4.508 4.508 4.778 Å, 90.00 90.00 90.00°
Atoms (fractional coordinates):
Sr  0.000  0.000  0.000
Cu  0.500  0.500  0.500
N  0.000  0.000  0.500
O  0.000  0.500  0.000
O  0.500  0.000  0.000

Results
E_form (uncorrected)	0.814	eV per atom
symmetry	No. 123


Record 5
A PBEsol-optimized structure of CuTcNO2, computed with meta-GGA SCAN.

Cell: 3.751 3.751 3.858 Å, 90.00 90.00 90.00°
Atoms (fractional coordinates):
Cu  0.000  0.000  0.000
Tc  0.500  0.500  0.500
N  0.500  0.500  0.000
O  0.000  0.500  0.500
O  0.500  0.000  0.500

Results
E_form (uncorrected)	-0.305	eV per atom
symmetry	No. 123


Record 6
A PBEsol-optimized structure of Cu2TeNO, computed with meta-GGA SCAN.

Cell: 3.506 3.506 6.606 Å, 90.00 90.00 90.00°
Atoms (fractional coordinates):
Cu  0.000  0.500  0.000
Cu  0.500  0.000  0.000
Te  0.000  0.000  0.500
N  0.500  0.500  0.500
O  0.000  0.000  0.000

Results
E_form (uncorrected)	0.533	eV per atom
symmetry	No. 123